(1)
! UTeI PBE relaxed; values from VASP
! symmetry = Pmmn
&SYSTEM
  ibrav = 0, nat = 6, ntyp = 3
/
ATOMIC_SPECIES
U 238.03 U.upf
Te 127.60 Te.upf
I 126.90 I.upf
CELL_PARAMETERS angstrom
4.2344 0.0000 0.0000
0.0000 6.1300 0.0000
0.0000 0.0000 9.5566
ATOMIC_POSITIONS crystal
U 0.2500 0.2500 0.1128
U 0.7500 0.7500 0.8872
Te 0.2500 0.7500 0.1238
Te 0.7500 0.2500 0.8762
I 0.2500 0.7500 0.6495
I 0.7500 0.2500 0.3505

***

(2)
! UTe2I2 PBE relaxed; values from VASP
! symmetry = C2/m
&SYSTEM
  ibrav = 0, nat = 10, ntyp = 3
/
ATOMIC_SPECIES
U 238.03 U.upf
Te 127.60 Te.upf
I 126.90 I.upf
CELL_PARAMETERS angstrom
3.8536 -7.0174 0.0000
3.8536 7.0174 0.0000
-1.9886 0.0000 7.8238
ATOMIC_POSITIONS crystal
U 0.1443 0.8557 0.0000
U 0.8557 0.1443 0.0000
Te 0.0870 0.0870 0.3108
Te 0.3199 0.3199 0.1029
Te 0.6801 0.6801 0.8971
Te 0.9130 0.9130 0.6892
I 0.0402 0.4594 0.7632
I 0.4594 0.0402 0.7632
I 0.5406 0.9598 0.2368
I 0.9598 0.5406 0.2368

***

Number 1: formation energy from raw total energies -66.5 kJ per mole of atoms, VASP energy -36.093 eV/cell. Number 2: formation energy from raw total energies -60.1 kJ per mole of atoms, VASP energy -47.574 eV/cell.